Record 1
VTc3Mo: relaxed, GGA-PBE.

Results
Mass density (g/cm³): 8.6
Fermi-level density of states (states/eV per cell): 5.02
Total magnetic moment (μB per cell): 0.72
E_tot (eV per cell): -44.892
Crystal system: cubic

Lattice parameters (Å, degrees): 4.4001 4.4001 4.4001 90.00 90.00 90.00
With the nearest neighbours (Å) after each atom.
Fractional coordinates of all 5 atoms:
Mo 0.5000 0.5000 0.5000  12 Tc 3.11
Tc 0.0000 0.5000 0.0000  2 V 2.20
Tc 0.0000 0.0000 0.5000  2 V 2.20
Tc 0.5000 0.0000 0.0000  2 V 2.20
V 0.0000 0.0000 0.0000  6 Tc 2.20

Record 2
TmPaGe2Rh5: relaxed, GGA-PBE.

Results
Mass density (g/cm³): 8.9
Fermi-level density of states (states/eV per cell): 14.45
Total magnetic moment (μB per cell): 1.90
E_tot (eV per cell): -59.665
Crystal system: tetragonal

Lattice parameters (Å, degrees): 3.9038 3.9038 12.9512 90.00 90.00 90.00
With the nearest neighbours (Å) after each atom.
Fractional coordinates of all 9 atoms:
Tm 0.5000 0.5000 0.5000  12 Rh 2.76-2.86
Pa 0.0000 0.0000 0.0000  2 Ge 2.85
Ge 0.0000 0.0000 0.2204  4 Rh 2.48
Ge 0.0000 0.0000 0.7796  4 Rh 2.48
Rh 0.0000 0.0000 0.5000  4 Tm 2.76, 8 Rh 2.86
Rh 0.0000 0.5000 0.6619  2 Ge 2.48, 4 Rh 2.76
Rh 0.5000 0.0000 0.3381  2 Ge 2.48, 4 Rh 2.76
Rh 0.0000 0.5000 0.3381  2 Ge 2.48, 4 Rh 2.76
Rh 0.5000 0.0000 0.6619  2 Ge 2.48, 4 Rh 2.76

Record 3
PmYMg17: relaxed, GGA-PBE.

Results
Mass density (g/cm³): 2.3
Fermi-level density of states (states/eV per cell): 8.24
Total magnetic moment (μB per cell): 0.00
E_tot (eV per cell): -38.996
Crystal system: trigonal

Lattice parameters (Å, degrees): 7.7919 7.7919 7.7919 82.18 82.18 82.18
With the nearest neighbours (Å) after each atom.
Fractional coordinates of all 19 atoms:
Pm 0.6702 0.6702 0.6702  16 Mg 3.52-3.84
Y 0.3290 0.3290 0.3290  16 Mg 3.48-3.88
Mg 0.3016 0.0011 0.6972  8 Mg 2.98-3.20
Mg 0.6972 0.3016 0.0011  8 Mg 2.98-3.20
Mg 0.0011 0.6972 0.3016  8 Mg 2.98-3.20
Mg 0.3016 0.6972 0.0011  8 Mg 2.98-3.20
Mg 0.0011 0.3016 0.6972  8 Mg 2.98-3.20
Mg 0.6972 0.0011 0.3016  8 Mg 2.98-3.20
Mg 0.3527 0.8421 0.3527  9 Mg 2.92-3.27
Mg 0.3527 0.3527 0.8421  9 Mg 2.92-3.27
Mg 0.8421 0.3527 0.3527  9 Mg 2.92-3.27
Mg 0.6459 0.1618 0.6459  8 Mg 2.92-3.20
Mg 0.6459 0.6459 0.1618  8 Mg 2.92-3.20
Mg 0.1618 0.6459 0.6459  8 Mg 2.92-3.20
Mg 0.9980 0.5019 0.9980  10 Mg 2.98-3.14
Mg 0.9980 0.9980 0.5019  10 Mg 2.98-3.14
Mg 0.5019 0.9980 0.9980  10 Mg 2.98-3.14
Mg 0.9016 0.9016 0.9016  7 Mg 3.03-3.31
Mg 0.1005 0.1005 0.1005  7 Mg 3.03-3.27

Record 4
Hf5Co3: relaxed, GGA-PBE.

Results
Mass density (g/cm³): 12.5
Fermi-level density of states (states/eV per cell): 26.67
Total magnetic moment (μB per cell): 0.00
E_tot (eV per cell): -293.185
Crystal system: orthorhombic

Lattice parameters (Å, degrees): 7.4794 7.1929 10.5590 90.00 90.00 90.00
With the nearest neighbours (Å) after each atom.
Fractional coordinates of all 32 atoms:
Hf 0.3901 0.2500 0.2985  3 Co 2.54-2.80
Hf 0.8901 0.7500 0.2015  3 Co 2.54-2.80
Hf 0.6099 0.7500 0.7015  3 Co 2.54-2.80
Hf 0.1099 0.2500 0.7985  3 Co 2.54-2.80
Hf 0.8354 0.2500 0.2279  3 Co 2.52-2.58
Hf 0.3354 0.7500 0.2721  3 Co 2.52-2.58
Hf 0.1646 0.7500 0.7721  3 Co 2.52-2.58
Hf 0.6646 0.2500 0.7279  3 Co 2.52-2.58
Hf 0.5369 0.2500 0.0139  5 Co 2.63-2.84
Hf 0.0369 0.7500 0.4861  5 Co 2.63-2.84
Hf 0.4631 0.7500 0.9861  5 Co 2.63-2.84
Hf 0.9631 0.2500 0.5139  5 Co 2.63-2.84
Hf 0.1768 0.0459 0.0888  3 Co 2.41-2.64
Hf 0.6768 0.9541 0.4112  3 Co 2.41-2.64
Hf 0.8232 0.5459 0.9112  3 Co 2.41-2.64
Hf 0.3232 0.4541 0.5888  3 Co 2.41-2.64
Hf 0.8232 0.9541 0.9112  3 Co 2.41-2.64
Hf 0.3232 0.0459 0.5888  3 Co 2.41-2.64
Hf 0.1768 0.4541 0.0888  3 Co 2.41-2.64
Hf 0.6768 0.5459 0.4112  3 Co 2.41-2.64
Co 0.5837 0.2500 0.4960  6 Hf 2.41-2.63
Co 0.0837 0.7500 0.0040  6 Hf 2.41-2.63
Co 0.4163 0.7500 0.5040  6 Hf 2.41-2.63
Co 0.9163 0.2500 0.9960  6 Hf 2.41-2.63
Co 0.0725 0.4661 0.3280  6 Hf 2.58-2.86
Co 0.5725 0.5339 0.1720  6 Hf 2.58-2.86
Co 0.9275 0.9661 0.6720  6 Hf 2.58-2.86
Co 0.4275 0.0339 0.8280  6 Hf 2.58-2.86
Co 0.9275 0.5339 0.6720  6 Hf 2.58-2.86
Co 0.4275 0.4661 0.8280  6 Hf 2.58-2.86
Co 0.0725 0.0339 0.3280  6 Hf 2.58-2.86
Co 0.5725 0.9661 0.1720  6 Hf 2.58-2.86

Record 5
DyZrSc5: relaxed, GGA-PBE.

Results
Mass density (g/cm³): 4.4
Fermi-level density of states (states/eV per cell): 23.04
Total magnetic moment (μB per cell): 0.00
E_tot (eV per cell): -86.469
Crystal system: monoclinic

Lattice parameters (Å, degrees): 6.4448 7.7512 7.7512 97.37 102.70 102.70
With the nearest neighbours (Å) after each atom.
Fractional coordinates of all 14 atoms:
Dy 0.7500 0.3476 0.1524  7 Sc 3.09-3.30
Dy 0.2500 0.6524 0.8476  7 Sc 3.09-3.30
Zr 0.0000 0.0000 0.0000  4 Sc 2.98-3.14
Zr 0.5000 0.5000 0.5000  4 Sc 2.98-3.14
Sc 0.5417 0.9013 0.6642  5 Sc 2.98-3.31, 1 Dy 3.09, 1 Zr 3.14
Sc 0.6443 0.7820 0.2250  7 Sc 3.06-3.40, 1 Dy 3.30, 1 Zr 3.37
Sc 0.0417 0.1642 0.4013  5 Sc 2.98-3.31, 1 Dy 3.09, 1 Zr 3.14
Sc 0.7500 0.6146 0.8854  2 Zr 2.98, 4 Sc 3.06-3.31, 3 Dy 3.11-3.25
Sc 0.8557 0.2750 0.7180  7 Sc 3.06-3.40, 1 Dy 3.30, 1 Zr 3.37
Sc 0.1443 0.7250 0.2820  7 Sc 3.06-3.40, 1 Dy 3.30, 1 Zr 3.37
Sc 0.2500 0.3854 0.1146  2 Zr 2.98, 4 Sc 3.06-3.31, 3 Dy 3.11-3.25
Sc 0.9583 0.8358 0.5987  5 Sc 2.98-3.31, 1 Dy 3.09, 1 Zr 3.14
Sc 0.3557 0.2180 0.7750  7 Sc 3.06-3.40, 1 Dy 3.30, 1 Zr 3.37
Sc 0.4583 0.0987 0.3358  5 Sc 2.98-3.31, 1 Dy 3.09, 1 Zr 3.14

Record 6
Sm2TmPb3: relaxed, GGA-PBE.

Results
Mass density (g/cm³): 9.7
Fermi-level density of states (states/eV per cell): 4.83
Total magnetic moment (μB per cell): 0.00
E_tot (eV per cell): -27.404
Crystal system: orthorhombic

Lattice parameters (Å, degrees): 5.2388 6.3760 6.9647 117.24 112.09 90.00
With the nearest neighbours (Å) after each atom.
Fractional coordinates of all 6 atoms:
Sm 0.6716 0.1716 0.3432  6 Pb 3.19-3.25
Sm 0.3284 0.8284 0.6568  6 Pb 3.19-3.25
Tm 0.0000 0.5000 0.0000  6 Pb 3.16-3.19
Pb 0.3431 0.3431 0.6863  2 Tm 3.16, 4 Sm 3.19-3.25, 1 Pb 3.52
Pb 0.0000 0.0000 0.0000  2 Tm 3.19, 4 Sm 3.25
Pb 0.6569 0.6569 0.3137  2 Tm 3.16, 4 Sm 3.19-3.25, 1 Pb 3.52

Record 7
Ac2ScMnS5: relaxed, GGA-PBE.

Results
Mass density (g/cm³): 5.7
Fermi-level density of states (states/eV per cell): 7.63
Total magnetic moment (μB per cell): 8.57
E_tot (eV per cell): -120.701
Crystal system: orthorhombic

Lattice parameters (Å, degrees): 4.0485 8.7693 11.9822 90.00 90.00 103.35
With the nearest neighbours (Å) after each atom.
Fractional coordinates of all 18 atoms:
Ac 0.8694 0.7387 0.8102  8 S 3.02-3.35
Ac 0.1166 0.2332 0.6900  8 S 3.01-3.27
Ac 0.1306 0.2613 0.3102  8 S 3.02-3.35
Ac 0.8834 0.7668 0.1900  8 S 3.01-3.27
Sc 0.8026 0.6053 0.5106  6 S 2.58-2.70
Sc 0.1974 0.3947 0.0106  6 S 2.58-2.70
Mn 0.5607 0.1214 0.9532  4 S 2.35-2.46
Mn 0.4393 0.8786 0.4532  4 S 2.35-2.46
S 0.3516 0.7032 0.0033  1 Sc 2.63
S 0.6907 0.3813 0.8651  1 Mn 2.46, 2 Sc 2.67
S 0.4984 0.9969 0.7782  1 Mn 2.35
S 0.2915 0.5830 0.6582  2 Sc 2.70, 1 Ac 3.01
S 0.9502 0.9005 0.5553  2 Mn 2.37, 1 Sc 2.58
S 0.6484 0.2968 0.5033  1 Sc 2.63
S 0.3093 0.6187 0.3651  1 Mn 2.46, 2 Sc 2.67
S 0.5016 0.0031 0.2782  1 Mn 2.35
S 0.7085 0.4170 0.1582  2 Sc 2.70, 1 Ac 3.01
S 0.0498 0.0995 0.0553  2 Mn 2.37, 1 Sc 2.58

Record 8
ZnTe2AsN: relaxed, GGA-PBE.

Results
Mass density (g/cm³): 6.1
Fermi-level density of states (states/eV per cell): 3.13
Total magnetic moment (μB per cell): 1.50
E_tot (eV per cell): -16.088
Crystal system: tetragonal

Lattice parameters (Å, degrees): 5.5031 5.5031 3.6925 90.00 90.00 90.00
With the nearest neighbours (Å) after each atom.
Fractional coordinates of all 5 atoms:
As 0.5000 0.5000 0.5000  8 Te 3.31, 2 As 3.69
Te 0.0000 0.5000 0.0000  2 Zn 2.75
Te 0.5000 0.0000 0.0000  2 Zn 2.75
Zn 0.0000 0.0000 0.0000  2 N 1.85
N 0.0000 0.0000 0.5000  2 Zn 1.85